11
Lattice="4.137 0.000 0.000 0.000 6.459 0.000 0.000 3.226 5.599" Properties=species:S:1:pos:R:3 comment="GGA-PBE CuRh2F8, relaxed" sg="P-1, No. 2" e_form_raw_ev_per_atom=-1.21 total_energy_ev_per_cell=-47.1 crystal_system=triclinic dos_at_fermi_per_ev_atom=0.682 pbc="T T T"
Cu 0.000 0.000 0.000
Rh 1.008 3.229 1.867
Rh 3.130 6.457 3.732
F 1.006 3.220 3.863
F 1.005 1.505 0.861
F 1.005 4.960 0.873
F 1.066 6.457 3.732
F 3.072 3.229 1.867
F 3.132 4.726 4.726
F 3.133 8.181 4.738
F 3.132 6.466 1.736

5
Lattice="5.317 0.000 0.000 0.000 5.317 0.000 0.000 0.000 5.317" Properties=species:S:1:pos:R:3 comment="GGA-PBE SnTe3Pd, relaxed" sg="Pm-3m, No. 221" e_form_raw_ev_per_atom=0.14 relative_energy_mev_per_atom=388 total_energy_ev_per_cell=-17.9 crystal_system=cubic dos_at_fermi_per_ev_atom=0.704 pbc="T T T"
Sn 0.000 0.000 0.000
Te 0.000 2.659 2.659
Te 2.659 0.000 2.659
Te 2.659 2.659 0.000
Pd 2.659 2.659 2.659